# 1
This record from the Alexandria database describes crystalline TiCrSbTe2 at its relaxed geometry. The functional is PBE-GGA.

Properties
For the magnetic moment, the calculation gives 4.55 μB per formula unit. The value obtained for the final energy is -5.060 eV per atom. The calculated volume comes out at 27.58 A^3/atom. For the energy relative to the elements, uncorrected, the calculation gives 525 meV per atom.

Structure (POSCAR):
```
TiCrSbTe2
1.0
5.237 0.000 0.000
0.000 5.237 0.000
0.000 0.000 5.028
Ti Cr Sb Te
1 1 1 2
Cartesian
0.000 0.000 0.000
2.619 2.619 2.514
2.619 2.619 0.000
0.000 2.619 2.514
2.619 0.000 2.514
```

=====

# 2
This record from the Alexandria database describes crystalline PmEuSnIr at its relaxed geometry. The functional is PBE-GGA.

Properties
For the magnetic moment, the calculation gives 7.00 μB per formula unit. As for the formation energy: -0.45 eV/atom. The value obtained for the final energy is -7.425 eV per atom. The calculated volume comes out at 22.71 A^3/atom.

Structure (POSCAR):
```
PmEuSnIr
1.0
0.000 3.568 3.568
3.568 0.000 3.568
3.568 3.568 0.000
Pm Eu Sn Ir
1 1 1 1
Cartesian
0.000 0.000 0.000
1.784 1.784 1.784
3.568 3.568 3.568
5.352 5.352 5.352
```

=====

# 3
This record from the Alexandria database describes crystalline UAsS at its relaxed geometry. The functional is PBE-GGA.

Properties
For the magnetic moment, the calculation gives 1.26 μB per formula unit. The value obtained for the final energy is -7.341 eV per atom. The calculated volume comes out at 21.41 A^3/atom. For the energy relative to the elements, uncorrected, the calculation gives -653 meV per atom.

Structure (POSCAR):
```
UAsS
1.0
4.439 0.000 0.000
-2.219 3.844 0.000
0.000 0.000 3.763
U As S
1 1 1
Cartesian
0.000 0.000 0.000
2.219 1.281 1.882
0.000 2.563 0.000
```

=====

# 4
This record from the Alexandria database describes crystalline Tl2TcW at its relaxed geometry. The functional is PBE-GGA.

Properties
For the magnetic moment, the calculation gives 0.00 μB per formula unit. As for the formation energy: 1.02 eV/atom. The value obtained for the final energy is -5.990 eV per atom. The calculated volume comes out at 19.25 A^3/atom.

Structure (POSCAR):
```
Tl2TcW
1.0
-1.554 2.572 4.817
1.554 -2.572 4.817
1.554 2.572 -4.817
Tl Tc W
2 1 1
Cartesian
0.000 0.000 2.342
0.000 0.000 7.291
1.554 0.000 0.000
0.000 2.572 0.000
```